## A
4
Lattice="3.494 0.000 0.000 0.000 3.494 0.000 0.000 0.000 9.964" Properties=species:S:1:pos:R:3 comment="SCAN CaLa2Ru, single point on PBEsol structure" n_ef_per_ev_atom=0.903 sg="No. 123" magnetic_moment_mub_per_atom=0.04 pbc="T T T"
Ca 0.000 0.000 0.000
La 1.747 1.747 3.286
La 1.747 1.747 6.677
Ru 0.000 0.000 4.982

---

## B
4
Lattice="-1.901 2.938 5.173 1.901 -2.938 5.173 1.901 2.938 -5.173" Properties=species:S:1:pos:R:3 comment="SCAN CaLa2Ru, single point on PBEsol structure" n_ef_per_ev_atom=0.790 sg="No. 71" magnetic_moment_mub_per_atom=0.00 pbc="T T T"
Ca 0.000 0.000 0.000
La 1.901 0.000 3.267
La 0.000 2.938 1.906
Ru 0.000 0.000 5.173

---

B is the most stable structure shown above.